Record 1
Entry from the Alexandria database: an optimized crystal structure of CdTcCl4 (GGA-PBE).

Cell and atoms, written as POSCAR:
```
CdTcCl4
1.0
2.559 -3.383 -4.101
3.923 -4.109 1.593
-1.394 -5.720 -0.396
Cd Cl Tc
1 4 1
direct
0.000 0.000 0.000 Cd
0.375 0.875 0.375 Cl
0.375 0.375 0.375 Cl
0.875 0.375 0.375 Cl
0.375 0.375 0.875 Cl
0.750 0.750 0.750 Tc
```

Results
As for the formation energy from raw total energies: 19.60 kcal/mol of atoms. The final energy is -2.26 eV per atom.

Record 2
Entry from the Alexandria database: an optimized crystal structure of NaHoEr2Se4 (GGA-PBE).

Cell and atoms, written as POSCAR:
```
NaHoEr2Se4
1.0
-0.553 -3.485 1.965
5.557 -2.786 -3.377
5.841 1.217 3.801
Se Na Er Ho
4 1 2 1
direct
0.000 0.752 0.749 Se
0.500 0.756 0.245 Se
0.500 0.244 0.755 Se
0.000 0.248 0.251 Se
0.000 0.500 0.500 Na
0.500 0.000 0.500 Er
0.000 0.000 0.000 Er
0.500 0.500 0.000 Ho
```

Results
As for the formation energy from raw total energies: -39.32 kcal/mol of atoms. The final energy is -5.33 eV per atom.

Record 3
Entry from the Alexandria database: an optimized crystal structure of SnH (GGA-PBE).

Cell and atoms, written as POSCAR:
```
SnH
1.0
4.848 0.000 0.000
0.000 8.465 0.000
0.000 0.000 7.636
Sn H
8 8
direct
0.500 0.597 0.349 Sn
0.500 0.097 0.151 Sn
0.500 0.903 0.849 Sn
0.500 0.403 0.651 Sn
0.000 0.903 0.651 Sn
0.000 0.403 0.849 Sn
0.000 0.097 0.349 Sn
0.000 0.597 0.151 Sn
0.500 0.793 0.428 H
0.000 0.207 0.928 H
0.000 0.293 0.428 H
0.500 0.207 0.572 H
0.000 0.793 0.072 H
0.500 0.293 0.072 H
0.000 0.707 0.572 H
0.500 0.707 0.928 H
```

Results
As for the relative energy among the computed polymorphs: 138 meV/atom. The final energy is -3.47 eV per atom.